Entry 1:
The following is a DFT calculation (GGA-PBE) of a relaxed Ac2Nd3Sm3 crystal.

Output
The value obtained for the energy of formation from the pure elements is 0.155 eV/atom.

```
Ac2Nd3Sm3
1.0
1.909 -8.829 0.000
1.909 8.829 0.000
0.000 0.000 18.089
Ac Nd Sm
4 6 6
Direct
0.249 0.751 0.603 Ac
0.249 0.751 0.897 Ac
0.751 0.249 0.103 Ac
0.751 0.249 0.397 Ac
0.092 0.908 0.040 Nd
0.092 0.908 0.460 Nd
0.123 0.877 0.750 Nd
0.877 0.123 0.250 Nd
0.908 0.092 0.540 Nd
0.908 0.092 0.960 Nd
0.096 0.904 0.250 Sm
0.455 0.545 0.120 Sm
0.455 0.545 0.380 Sm
0.545 0.455 0.620 Sm
0.545 0.455 0.880 Sm
0.904 0.096 0.750 Sm
```

Entry 2:
The following is a DFT calculation (GGA-PBE) of a relaxed Ac3Nd5Sm2 crystal.

Output
The value obtained for the energy of formation from the pure elements is 0.035 eV/atom.

```
Ac3Nd5Sm2
1.0
9.952 0.000 0.000
-2.878 9.533 0.000
-4.196 -4.270 7.968
Ac Nd Sm
6 10 4
Direct
0.082 0.352 0.034 Ac
0.271 0.951 0.421 Ac
0.323 0.846 0.773 Ac
0.677 0.154 0.227 Ac
0.729 0.049 0.579 Ac
0.918 0.648 0.966 Ac
0.027 0.449 0.675 Nd
0.129 0.253 0.383 Nd
0.225 0.054 0.075 Nd
0.380 0.748 0.125 Nd
0.472 0.545 0.824 Nd
0.528 0.455 0.176 Nd
0.620 0.252 0.875 Nd
0.775 0.946 0.925 Nd
0.871 0.747 0.617 Nd
0.973 0.551 0.325 Nd
0.176 0.152 0.726 Sm
0.430 0.646 0.478 Sm
0.570 0.354 0.522 Sm
0.824 0.848 0.274 Sm
```

Entry 3:
The following is a DFT calculation (GGA-PBE) of a relaxed Ac2Nd6Sm crystal.

Output
The value obtained for the energy of formation from the pure elements is 0.081 eV/atom.

```
Ac2Nd6Sm
1.0
7.846 -5.140 0.000
7.846 5.140 0.000
-4.349 0.000 8.266
Ac Nd Sm
4 12 2
Direct
0.011 0.174 0.178 Ac
0.174 0.011 0.678 Ac
0.826 0.989 0.322 Ac
0.989 0.826 0.822 Ac
0.089 0.581 0.418 Nd
0.172 0.350 0.013 Nd
0.340 0.496 0.835 Nd
0.350 0.172 0.513 Nd
0.419 0.911 0.082 Nd
0.496 0.340 0.335 Nd
0.504 0.660 0.665 Nd
0.581 0.089 0.918 Nd
0.650 0.828 0.487 Nd
0.660 0.504 0.165 Nd
0.828 0.650 0.987 Nd
0.911 0.419 0.582 Nd
0.255 0.745 0.250 Sm
0.745 0.255 0.750 Sm
```

Entry 4:
The following is a DFT calculation (GGA-PBE) of a relaxed AcNd2Sm8 crystal.

Output
The value obtained for the energy of formation from the pure elements is 0.123 eV/atom.

```
AcNd2Sm8
1.0
-2.820 4.244 8.160
2.820 -4.244 8.160
2.820 4.244 -8.160
Ac Nd Sm
1 2 8
Direct
0.000 0.000 0.000 Ac
0.300 0.300 0.000 Nd
0.700 0.700 0.000 Nd
0.153 0.856 0.297 Sm
0.159 0.659 0.500 Sm
0.297 0.500 0.797 Sm
0.440 0.144 0.297 Sm
0.560 0.856 0.703 Sm
0.703 0.500 0.203 Sm
0.841 0.341 0.500 Sm
0.847 0.144 0.703 Sm
```

Entry 5:
The following is a DFT calculation (GGA-PBE) of a relaxed Ac4Nd3Sm2 crystal.

Output
The value obtained for the energy of formation from the pure elements is 0.039 eV/atom.

```
Ac4Nd3Sm2
1.0
5.439 0.000 0.000
2.712 5.941 0.000
0.003 3.372 10.895
Ac Nd Sm
4 3 2
Direct
0.003 0.494 0.332 Ac
0.333 0.833 0.111 Ac
0.667 0.167 0.889 Ac
0.997 0.506 0.668 Ac
0.000 0.500 0.000 Nd
0.334 0.831 0.448 Nd
0.666 0.169 0.552 Nd
0.329 0.841 0.773 Sm
0.671 0.159 0.227 Sm
```

Entry 6:
The following is a DFT calculation (GGA-PBE) of a relaxed Ac3Nd6Sm crystal.

Output
The value obtained for the energy of formation from the pure elements is 0.344 eV/atom.

```
Ac3Nd6Sm
1.0
5.125 2.959 4.314
-5.125 2.959 4.314
0.000 -5.917 4.314
Ac Nd Sm
3 6 1
Direct
0.000 0.000 0.000 Ac
0.258 0.258 0.258 Ac
0.742 0.742 0.742 Ac
0.094 0.751 0.424 Nd
0.249 0.576 0.906 Nd
0.424 0.094 0.751 Nd
0.576 0.906 0.249 Nd
0.751 0.424 0.094 Nd
0.906 0.249 0.576 Nd
0.500 0.500 0.500 Sm
```

Entry 7:
The following is a DFT calculation (GGA-PBE) of a relaxed AcNd2Sm5 crystal.

Output
The value obtained for the energy of formation from the pure elements is 0.120 eV/atom.

```
AcNd2Sm5
1.0
8.931 -5.545 0.000
8.931 5.545 0.000
-0.005 0.000 11.497
Ac Nd Sm
4 8 20
Direct
0.028 0.472 0.168 Ac
0.472 0.028 0.668 Ac
0.528 0.972 0.332 Ac
0.972 0.528 0.832 Ac
0.099 0.762 0.370 Nd
0.238 0.901 0.130 Nd
0.262 0.599 0.630 Nd
0.401 0.738 0.870 Nd
0.599 0.262 0.130 Nd
0.738 0.401 0.370 Nd
0.762 0.099 0.870 Nd
0.901 0.238 0.630 Nd
0.073 0.800 0.890 Sm
0.131 0.132 0.362 Sm
0.132 0.131 0.862 Sm
0.157 0.343 0.575 Sm
0.200 0.927 0.610 Sm
0.300 0.573 0.111 Sm
0.343 0.157 0.075 Sm
0.368 0.369 0.362 Sm
0.369 0.368 0.862 Sm
0.427 0.700 0.389 Sm
0.573 0.300 0.611 Sm
0.631 0.632 0.138 Sm
0.632 0.631 0.638 Sm
0.657 0.843 0.925 Sm
0.700 0.427 0.889 Sm
0.800 0.073 0.390 Sm
0.843 0.657 0.425 Sm
0.868 0.869 0.138 Sm
0.869 0.868 0.638 Sm
0.927 0.200 0.110 Sm
```

Entry 8:
The following is a DFT calculation (GGA-PBE) of a relaxed Ac2NdSm8 crystal.

Output
The value obtained for the energy of formation from the pure elements is 0.176 eV/atom.

```
Ac2NdSm8
1.0
7.541 -3.465 0.000
7.541 3.465 0.000
-1.985 0.000 7.651
Ac Nd Sm
2 1 8
Direct
0.179 0.179 0.262 Ac
0.821 0.821 0.738 Ac
0.000 0.000 0.500 Nd
0.193 0.662 0.133 Sm
0.252 0.252 0.805 Sm
0.338 0.807 0.867 Sm
0.399 0.399 0.538 Sm
0.601 0.601 0.462 Sm
0.662 0.193 0.133 Sm
0.748 0.748 0.195 Sm
0.807 0.338 0.867 Sm
```